1 | # Cs2NaTl

A geometry-optimized Cs2NaTl structure (GGA-PBE, the Alexandria database).

Fermi-level density of states = 21.39 states/eV per cell
Size of the total moment = 6.07 μB per cell

a = 9.784 Å, b = 9.784 Å, c = 9.784 Å
α = 90.00°, β = 90.00°, γ = 90.00°
Space group Fm-3m (No. 225)
Asymmetric unit:
1 Cs 0.250 0.250 0.250 (multiplicity 8)
2 Na 0.000 0.000 0.000 (multiplicity 4)
3 Tl 0.000 0.000 0.500 (multiplicity 4)

2 | # Cs2NaTl

A geometry-optimized Cs2NaTl structure (GGA-PBE, the Alexandria database).

Fermi-level density of states = 7.70 states/eV per cell
Size of the total moment = 0.00 μB per cell

a = 5.027 Å, b = 11.989 Å, c = 8.228 Å
α = 90.00°, β = 90.00°, γ = 90.00°
Space group Imm2 (No. 44)
Asymmetric unit:
1 Cs 0.000 0.192 0.000 (multiplicity 4)
2 Na 0.000 0.000 0.516 (multiplicity 2)
3 Tl 0.000 0.500 0.770 (multiplicity 2)

3 | # Cs2NaTl

A geometry-optimized Cs2NaTl structure (GGA-PBE, the Alexandria database).

Fermi-level density of states = 11.24 states/eV per cell
Size of the total moment = 0.00 μB per cell

a = 11.038 Å, b = 11.038 Å, c = 7.978 Å
α = 90.00°, β = 90.00°, γ = 90.00°
Space group I-42d (No. 122)
Asymmetric unit:
1 Cs 0.230 0.250 0.125 (multiplicity 8)
2 Na 0.000 0.000 0.500 (multiplicity 4)
3 Tl 0.000 0.000 0.000 (multiplicity 4)

Stability summary - winner: 2; margin: 69 meV/atom.

1 | # CsNaTl

A geometry-optimized CsNaTl structure (GGA-PBE, the Alexandria database).

Fermi-level density of states = 2.95 states/eV per cell
Size of the total moment = 0.00 μB per cell

a = 5.9995 Å, b = 5.9995 Å, c = 4.5021 Å
α = 90.00°, β = 90.00°, γ = 120.00°
Space group P3m1 (No. 156)
Asymmetric unit:
1 Cs 0.0000 0.0000 0.0000 (multiplicity 1)
2 Na 0.3333 0.6667 0.4989 (multiplicity 1)
3 Tl 0.6667 0.3333 0.5014 (multiplicity 1)

2 | # CsNaTl

A geometry-optimized CsNaTl structure (GGA-PBE, the Alexandria database).

Fermi-level density of states = 12.50 states/eV per cell
Size of the total moment = 0.00 μB per cell

a = 6.945 Å, b = 12.237 Å, c = 6.331 Å
α = 90.00°, β = 90.00°, γ = 90.00°
Space group Cmcm (No. 63)
Asymmetric unit:
1 Cs 0.000 0.094 0.250 (multiplicity 4)
2 Na 0.000 0.409 0.250 (multiplicity 4)
3 Tl 0.000 0.286 0.750 (multiplicity 4)

3 | # CsNaTl

A geometry-optimized CsNaTl structure (GGA-PBE, the Alexandria database).

Fermi-level density of states = 4.02 states/eV per cell
Size of the total moment = 0.00 μB per cell

a = 6.957 Å, b = 5.638 Å, c = 7.713 Å
α = 90.00°, β = 109.31°, γ = 90.00°
Space group Pm (No. 6)
Asymmetric unit:
1 Cs 0.000 0.000 0.000 (multiplicity 1)
2 Cs 0.479 0.500 0.919 (multiplicity 1)
3 Na 0.591 0.000 0.435 (multiplicity 1)
4 Na 0.887 0.500 0.484 (multiplicity 1)
5 Tl 0.161 0.000 0.533 (multiplicity 1)
6 Tl 0.317 0.500 0.385 (multiplicity 1)

Stability summary - winner: 3; margin: 83 meV/atom.